Crystalline Zr2ScTc3 at its relaxed geometry, computed with PBE-GGA.

Its calculated formation energy is -260 meV per atom.

The structure belongs to space group Cmmm (No. 65); the cell edges are 4.639, 13.907 and 6.560 Å and the angles 90.00°, 90.00° and 90.00°. The inequivalent atoms are Zr at (0.000, 0.000, 0.000), Zr at (0.000, 0.000, 0.500), Zr at (0.000, 0.333, 0.000), Sc at (0.000, 0.332, 0.500), Tc at (0.000, 0.166, 0.247) and Tc at (0.000, 0.500, 0.249).

***

Crystalline Na2Cu3O5 at its relaxed geometry, computed with PBE-GGA.

As for the uncorrected formation energy: -792 meV per atom.

The structure belongs to space group C2/m (No. 12); the cell edges are 11.148, 3.081 and 7.891 Å and the angles 90.00°, 126.83° and 90.00°. The inequivalent atoms are Na at (0.178, 0.000, 0.273), Cu at (0.000, 0.000, 0.500), Cu at (0.111, 0.500, 0.890), O at (0.000, 0.500, 0.000), O at (0.063, 0.500, 0.402) and O at (0.202, 0.000, 0.829).

***

Crystalline Dy2Hf2Ge2C at its relaxed geometry, computed with PBE-GGA.

Its calculated formation energy is -751 meV per atom.

The structure belongs to space group I4/mmm (No. 139); the cell edges are 4.378, 4.378 and 15.253 Å and the angles 90.00°, 90.00° and 90.00°. The inequivalent atoms are Dy at (0.000, 0.000, 0.167), Hf at (0.000, 0.500, 0.000), Ge at (0.000, 0.000, 0.369) and C at (0.000, 0.000, 0.000).

***

Crystalline RbSr2La at its relaxed geometry, computed with PBE-GGA.

The value obtained for the energy above the most stable polymorph in this dataset is 371 meV/atom. Its calculated formation energy is 539 meV per atom.

The structure belongs to space group I-42d (No. 122); the cell edges are 10.212, 10.212 and 7.931 Å and the angles 90.00°, 90.00° and 90.00°. The inequivalent atoms are Rb at (0.000, 0.000, 0.000), Sr at (0.250, 0.250, 0.125) and La at (0.000, 0.000, 0.500).

***

Crystalline KLiPmCl5 at its relaxed geometry, computed with PBE-GGA.

As for the uncorrected formation energy: -2094 meV per atom.

The structure belongs to space group C2/c (No. 15); the cell edges are 8.916, 12.150 and 10.184 Å and the angles 90.00°, 113.59° and 90.00°. The inequivalent atoms are K at (0.000, 0.150, 0.250), Li at (0.000, 0.189, 0.750), Pm at (0.000, 0.500, 0.000), Cl at (0.000, 0.413, 0.250), Cl at (0.115, 0.301, 0.619) and Cl at (0.184, 0.064, 0.924).

***

Crystalline KNiH2 at its relaxed geometry, computed with PBE-GGA.

The value obtained for the energy above the most stable polymorph in this dataset is 0 meV/atom.

The structure belongs to space group I-42d (No. 122); the cell edges are 5.349, 5.349 and 7.426 Å and the angles 90.00°, 90.00° and 90.00°. The inequivalent atoms are K at (0.000, 0.000, 0.000), Ni at (0.000, 0.000, 0.500) and H at (0.043, 0.250, 0.625).

***

Crystalline LaSmGdDy at its relaxed geometry, computed with PBE-GGA.

Its calculated formation energy is 110 meV per atom.

The structure belongs to space group F-43m (No. 216); the cell edges are 8.167, 8.167 and 8.167 Å and the angles 90.00°, 90.00° and 90.00°. The inequivalent atoms are La at (0.000, 0.000, 0.000), Sm at (0.000, 0.000, 0.500), Gd at (0.250, 0.250, 0.750) and Dy at (0.250, 0.250, 0.250).

***

Crystalline TbYAgRu at its relaxed geometry, computed with PBE-GGA.

The value obtained for the energy above the most stable polymorph in this dataset is 0 meV/atom. Its calculated formation energy is -390 meV per atom.

The structure belongs to space group P4mm (No. 99); the cell edges are 3.438, 3.438 and 7.509 Å and the angles 90.00°, 90.00° and 90.00°. The inequivalent atoms are Tb at (0.000, 0.000, 0.000), Y at (0.000, 0.000, 0.554), Ag at (0.500, 0.500, 0.278) and Ru at (0.500, 0.500, 0.778).

***

Crystalline SrPS2Cl at its relaxed geometry, computed with PBE-GGA.

The value obtained for the energy above the most stable polymorph in this dataset is 941 meV/atom. As for the uncorrected formation energy: 106 meV per atom.

The structure belongs to space group P4/mmm (No. 123); the cell edges are 5.109, 5.109 and 4.464 Å and the angles 90.00°, 90.00° and 90.00°. The inequivalent atoms are Sr at (0.000, 0.000, 0.000), P at (0.500, 0.500, 0.000), S at (0.000, 0.500, 0.500) and Cl at (0.500, 0.500, 0.500).

***

Crystalline Cd3PbAu3 at its relaxed geometry, computed with PBE-GGA.

Its calculated formation energy is 302 meV per atom.

The structure belongs to space group Pm-3n (No. 223); the cell edges are 7.584, 7.584 and 7.584 Å and the angles 90.00°, 90.00° and 90.00°. The inequivalent atoms are Cd at (0.000, 0.250, 0.500), Pb at (0.000, 0.000, 0.000) and Au at (0.000, 0.500, 0.250).

***

Crystalline LiNd2Th at its relaxed geometry, computed with PBE-GGA.

The value obtained for the energy above the most stable polymorph in this dataset is 43 meV/atom. Its calculated formation energy is 80 meV per atom.

The structure belongs to space group R3m (No. 160, hexagonal axes); the cell edges are 3.5952, 3.5952 and 34.4192 Å and the angles 90.00°, 90.00° and 120.00°. The inequivalent atoms are Li at (0.0000, 0.0000, 0.0000), Nd at (0.0000, 0.0000, 0.2497), Nd at (0.0000, 0.0000, 0.4170) and Th at (0.0000, 0.0000, 0.8332).

***

Crystalline ZnTcN3 at its relaxed geometry, computed with PBE-GGA.

As for the uncorrected formation energy: 983 meV per atom.

The structure belongs to space group Pm-3m (No. 221); the cell edges are 3.880, 3.880 and 3.880 Å and the angles 90.00°, 90.00° and 90.00°. The inequivalent atoms are Zn at (0.000, 0.000, 0.000), Tc at (0.500, 0.500, 0.500) and N at (0.000, 0.500, 0.500).

***

| no. | N(E_F) (states/eV/atom) |
| --- | --- |
| 1 | 1.125 |
| 2 | 0.535 |
| 3 | 0.861 |
| 4 | 0.404 |
| 5 | 0.000 |
| 6 | 0.485 |
| 7 | 2.102 |
| 8 | 0.634 |
| 9 | 1.100 |
| 10 | 0.525 |
| 11 | 1.158 |
| 12 | 0.704 |